Entry from Alexandria via LeMat-Bulk: an optimized crystal structure of CrInRe (PBE-GGA).

Output
The relative energy among the computed polymorphs is 0.1539 eV/atom. The value obtained for the formation energy is 443 meV per atom. The magnetic moment is 0.32 μB per cell.

extended XYZ file:
```
3
Lattice="-1.714 2.288 -0.515 0.598 -1.876 -2.136 -5.324 -3.611 1.682" Properties=species:S:1:pos:R:3 pbc="T T T"
Cr -5.184 -3.516 1.638
In -2.676 -0.275 -0.508
Re -3.904 -3.019 -0.416
```

Entry from Alexandria via LeMat-Bulk: an optimized crystal structure of CrIn2Re (PBE-GGA).

Output
The relative energy among the computed polymorphs is 0.0553 eV/atom. The value obtained for the formation energy is 278 meV per atom. The magnetic moment is 0.00 μB per cell.

extended XYZ file:
```
4
Lattice="3.011 0.000 0.000 0.000 3.011 0.000 0.000 0.000 8.214" Properties=species:S:1:pos:R:3 pbc="T T T"
Cr 1.505 1.505 5.813
In 0.000 0.000 7.748
In 1.505 1.505 2.446
Re 0.000 0.000 4.527
```

Entry from Alexandria via LeMat-Bulk: an optimized crystal structure of CrInRe (PBE-GGA).

Output
The relative energy among the computed polymorphs is 0.2033 eV/atom. The value obtained for the formation energy is 493 meV per atom. The magnetic moment is 0.00 μB per cell.

extended XYZ file:
```
3
Lattice="7.161 0.004 -0.002 6.374 2.706 0.009 0.786 -1.010 2.507" Properties=species:S:1:pos:R:3 pbc="T T T"
Cr 0.930 -0.968 2.479
In 5.090 0.246 1.663
Re 9.087 1.412 0.879
```

Number 1: uncorrected energy -23.48 eV for the cell shown. Number 2: uncorrected energy -26.44 eV for the cell shown. Number 3: uncorrected energy -23.33 eV for the cell shown.